(1)
First-principles (PBE) data for a geometry-optimized Zr3TiPd structure, as listed in Alexandria.

Results
As for the energy relative to the elements: 747 meV/atom.

abc: 4.8795 4.8795 4.8795
angles: 90.00 90.00 90.00
Sites, in units of the cell vectors:
Zr  0.0000  0.0000  0.5000
Zr  0.5000  0.0000  0.0000
Pd  0.5000  0.5000  0.5000
Zr  0.0000  0.5000  0.0000
Ti  0.0000  0.0000  0.0000

***

(2)
First-principles (PBE) data for a geometry-optimized Ac3MnZn2Pd9 structure, as listed in Alexandria.

Results
As for the energy relative to the elements: -486 meV/atom.

abc: 5.9375 5.9375 10.9962
angles: 90.00 90.00 120.00
Sites, in units of the cell vectors:
Pd  0.1650  0.3300  0.3282
Ac  0.3333  0.6667  0.6170
Pd  0.5000  0.0000  0.0000
Pd  0.8350  0.6700  0.6718
Zn  0.3333  0.6667  0.1640
Pd  0.6700  0.8350  0.3282
Ac  0.6667  0.3333  0.3830
Pd  0.3300  0.1650  0.6718
Pd  0.1650  0.8350  0.3282
Ac  0.0000  0.0000  0.0000
Zn  0.6667  0.3333  0.8360
Pd  0.8350  0.1650  0.6718
Pd  0.0000  0.5000  0.0000
Mn  0.0000  0.0000  0.5000
Pd  0.5000  0.5000  0.0000

***

(3)
First-principles (PBE) data for a geometry-optimized SrPuZnAu structure, as listed in Alexandria.

Results
As for the energy relative to the elements: -237 meV/atom.

abc: 5.2850 5.2850 5.2850
angles: 60.00 60.00 60.00
Sites, in units of the cell vectors:
Zn  0.2500  0.2500  0.2500
Au  0.7500  0.7500  0.7500
Pu  0.0000  0.0000  0.0000
Sr  0.5000  0.5000  0.5000

***

(4)
First-principles (PBE) data for a geometry-optimized La2Nd3Th structure, as listed in Alexandria.

Results
As for the energy relative to the elements: 75 meV/atom.

abc: 3.6728 8.6367 13.4843
angles: 90.25 90.00 90.00
Sites, in units of the cell vectors:
Nd  0.2500  0.4079  0.7501
La  0.7500  0.0960  0.8892
Th  0.7500  0.1802  0.2483
Nd  0.7500  0.6486  0.9385
La  0.2500  0.9040  0.1108
La  0.7500  0.6535  0.5613
Th  0.2500  0.8198  0.7517
Nd  0.2500  0.9081  0.3902
Nd  0.2500  0.3514  0.0615
Nd  0.7500  0.0919  0.6098
La  0.2500  0.3465  0.4387
Nd  0.7500  0.5921  0.2499

***

(5)
First-principles (PBE) data for a geometry-optimized Y2ZrCl structure, as listed in Alexandria.

Results
For the formation energy without anion corrections, the calculation gives -1.51 eV per formula unit.

abc: 5.5979 3.4387 6.5715
angles: 58.44 90.00 90.00
Sites, in units of the cell vectors:
Cl  0.5000  0.7494  0.8751
Y  0.0000  0.7587  0.8749
Y  0.5000  0.2414  0.3751
Zr  0.0000  0.7505  0.3750

***

(6)
First-principles (PBE) data for a geometry-optimized Ac12InRh6 structure, as listed in Alexandria.

Results
As for the energy relative to the elements: -527 meV/atom.

abc: 9.3413 9.3413 9.3413
angles: 109.47 109.47 109.47
Sites, in units of the cell vectors:
Ac  0.6888  0.5074  0.8186
Ac  0.6888  0.8703  0.1814
Ac  0.1297  0.8186  0.3112
Ac  0.3112  0.4926  0.1814
Rh  0.8681  0.3681  0.5000
Ac  0.8703  0.1814  0.6888
Ac  0.8186  0.3112  0.1297
Ac  0.3112  0.1297  0.8186
Rh  0.6319  0.5000  0.1319
Ac  0.1814  0.3112  0.4926
Rh  0.3681  0.5000  0.8681
Ac  0.5074  0.8186  0.6888
Rh  0.5000  0.8681  0.3681
In  0.0000  0.0000  0.0000
Ac  0.1814  0.6888  0.8703
Ac  0.4926  0.1814  0.3112
Ac  0.8186  0.6888  0.5074
Rh  0.5000  0.1319  0.6319
Rh  0.1319  0.6319  0.5000

***

(7)
First-principles (PBE) data for a geometry-optimized HgSbPb structure, as listed in Alexandria.

Results
For the formation energy without anion corrections, the calculation gives 0.24 eV per formula unit.

abc: 5.2260 5.2260 5.2260
angles: 60.00 60.00 60.00
Sites, in units of the cell vectors:
Hg  0.0000  0.0000  0.0000
Pb  0.5000  0.5000  0.5000
Sb  0.7500  0.7500  0.7500

***

(8)
First-principles (PBE) data for a geometry-optimized CaTcRh structure, as listed in Alexandria.

Results
As for the energy relative to the elements: 71 meV/atom.

abc: 5.7979 4.4503 5.1261
angles: 90.00 112.84 90.01
Sites, in units of the cell vectors:
Ca  0.2816  0.8904  0.6294
Rh  0.8395  0.3908  0.5091
Rh  0.8387  0.8908  0.8027
Tc  0.7193  0.8907  0.2468
Tc  0.7123  0.3907  0.9560
Ca  0.2574  0.3904  0.1315

***

Table of Fermi-level density of states (states/eV/f.u.), in record order: 8.5 6.3 12.6 9.1 4.7 16.8 1.9 2.9